DFT (PBE) results for a relaxed CsGe3Pt crystal.

POSCAR file:
```
CsGe3Pt
1.0
9.9056 0.0000 0.0000
0.0000 6.3564 0.0000
-2.0019 0.0000 8.5075
Cs Ge Pt
4 12 4
Direct
0.0987 0.0973 0.2170
0.0987 0.4027 0.7170
0.9013 0.5973 0.2830
0.9013 0.9027 0.7830
0.2677 0.5789 0.1148
0.2677 0.9211 0.6148
0.3454 0.6140 0.4476
0.3454 0.8860 0.9476
0.4631 0.0852 0.3300
0.4631 0.4148 0.8300
0.5369 0.5852 0.1700
0.5369 0.9148 0.6700
0.6546 0.1140 0.0524
0.6546 0.3860 0.5524
0.7323 0.0789 0.3852
0.7323 0.4211 0.8852
0.4020 0.2439 0.0645
0.4020 0.2561 0.5645
0.5980 0.7439 0.4355
0.5980 0.7561 0.9355
```

Energy of formation from the pure elements = -0.25 eV per atom
Total magnetic moment = 0.0 μB per cell
Fermi-level density of states = 0.20 states/eV per atom
Energy above the most stable polymorph in this dataset = 0 meV/atom
Symmetry = No. 14